The following is a PBE calculation of a relaxed Pm2PtN crystal, from the Alexandria database.

Values from the calculation:
- Energy relative to the elements, uncorrected: -24.92 kcal/mol of atoms
- E above lowest polymorph: 0 meV/atom

Cell lengths 3.7221, 3.7221, 20.7061 Å; angles 90.00, 90.00, 120.00 degrees
Space group R-3m (No. 166, hexagonal axes)
Unique sites:
Pm  0.0000  0.0000  0.2354 (multiplicity 6)
Pt  0.0000  0.0000  0.0000 (multiplicity 3)
N  0.0000  0.0000  0.5000 (multiplicity 3)

The following is a PBE calculation of a relaxed Li6ErIn6 crystal, from the Alexandria database.

Values from the calculation:
- ΔH_f (0 K): -3.71 eV per formula unit

Cell lengths 5.737, 9.499, 9.623 Å; angles 90.00, 90.00, 90.00 degrees
Space group Immm (No. 71)
Unique sites:
Li  0.000  0.000  0.231 (multiplicity 4)
Li  0.250  0.250  0.250 (multiplicity 8)
Er  0.000  0.500  0.500 (multiplicity 2)
In  0.000  0.158  0.500 (multiplicity 4)
In  0.000  0.192  0.000 (multiplicity 4)
In  0.000  0.500  0.160 (multiplicity 4)

Number 1: size of the total moment 0.000 μB/cell, density of states at the Fermi level 6.53 states/eV/cell, VASP energy -84.57 eV for the cell shown. Number 2: size of the total moment 0.000 μB/cell, density of states at the Fermi level 9.39 states/eV/cell, VASP energy -72.37 eV for the cell shown.